# 1
Compound: CoTc2Ir
Source: Alexandria
Functional: meta-GGA SCAN
Structure: single point on PBEsol structure

Cell lengths 5.994, 5.994, 5.994 Å; angles 90.00, 90.00, 90.00 degrees
Space group Fm-3m (No. 225)
One atom of each set of equivalent atoms:
1 Co 0.000 0.000 0.000 x4
2 Tc 0.250 0.250 0.250 x8
3 Ir 0.000 0.000 0.500 x4

Calculated values
DOS(E_F), states/eV/f.u.: 5.38
Relative energy among the computed polymorphs, meV per atom: 432
Formation energy, eV per atom: 0.27
E, eV per cell: -629.81

---

# 2
Compound: CoTeIr2
Source: Alexandria
Functional: meta-GGA SCAN
Structure: single point on PBEsol structure

Cell lengths 3.902, 3.902, 3.823 Å; angles 90.00, 90.00, 90.00 degrees
Space group P4/mmm (No. 123)
One atom of each set of equivalent atoms:
1 Co 0.000 0.000 0.000 x1
2 Te 0.500 0.500 0.000 x1
3 Ir 0.000 0.500 0.500 x2

Calculated values
DOS(E_F), states/eV/f.u.: 2.53
Relative energy among the computed polymorphs, meV per atom: 0
Energy relative to the elements, uncorrected, eV per atom: 0.35
E, eV per cell: -195.35

---

# 3
Compound: CoTeIr2
Source: Alexandria
Functional: meta-GGA SCAN
Structure: single point on PBEsol structure

Cell lengths 2.8912, 2.8912, 25.7106 Å; angles 90.00, 90.00, 120.00 degrees
Space group R-3m (No. 166, hexagonal axes)
One atom of each set of equivalent atoms:
1 Co 0.0000 0.0000 0.0000 x3
2 Te 0.0000 0.0000 0.5000 x3
3 Ir 0.0000 0.0000 0.2574 x6

Calculated values
DOS(E_F), states/eV/f.u.: 3.45
Relative energy among the computed polymorphs, meV per atom: 228
Energy relative to the elements, uncorrected, eV per atom: 0.58
E, eV per cell: -583.31

---

# 4
Compound: CoTeIr2
Source: Alexandria
Functional: meta-GGA SCAN
Structure: single point on PBEsol structure

Cell lengths 2.956, 3.614, 5.652 Å; angles 90.00, 90.00, 90.00 degrees
Space group Pmmm (No. 47)
One atom of each set of equivalent atoms:
1 Co 0.000 0.000 0.000 x1
2 Te 0.000 0.000 0.500 x1
3 Ir 0.500 0.500 0.227 x2

Calculated values
DOS(E_F), states/eV/f.u.: 2.80
Relative energy among the computed polymorphs, meV per atom: 31
Energy relative to the elements, uncorrected, eV per atom: 0.38
E, eV per cell: -195.23

---

# 5
Compound: Co2TeIr
Source: Alexandria
Functional: meta-GGA SCAN
Structure: single point on PBEsol structure

Cell lengths 2.954, 3.493, 5.442 Å; angles 90.00, 90.00, 90.00 degrees
Space group Pmm2 (No. 25)
One atom of each set of equivalent atoms:
1 Co 0.000 0.000 0.000 x1
2 Co 0.500 0.500 0.218 x1
3 Te 0.500 0.500 0.752 x1
4 Ir 0.000 0.000 0.453 x1

Calculated values
DOS(E_F), states/eV/f.u.: 2.80
Energy relative to the elements, uncorrected, eV per atom: 0.40
E, eV per cell: -141.34

---

# 6
Compound: TiZn2CoIr
Source: Alexandria
Functional: meta-GGA SCAN
Structure: single point on PBEsol structure

Cell lengths 4.567, 4.567, 3.894 Å; angles 90.00, 90.00, 90.00 degrees
Space group P4/mmm (No. 123)
One atom of each set of equivalent atoms:
1 Ti 0.000 0.000 0.000 x1
2 Zn 0.000 0.500 0.000 x2
3 Co 0.000 0.000 0.500 x1
4 Ir 0.500 0.500 0.500 x1

Calculated values
DOS(E_F), states/eV/f.u.: 3.82
Formation energy, eV per atom: 1.50
E, eV per cell: -123.95

---

# 7
Compound: TlCoIr2
Source: Alexandria
Functional: meta-GGA SCAN
Structure: single point on PBEsol structure

Cell lengths 6.234, 6.234, 6.234 Å; angles 90.00, 90.00, 90.00 degrees
Space group F-43m (No. 216)
One atom of each set of equivalent atoms:
1 Tl 0.000 0.000 0.000 x4
2 Co 0.250 0.250 0.750 x4
3 Ir 0.000 0.000 0.500 x4
4 Ir 0.250 0.250 0.250 x4

Calculated values
DOS(E_F), states/eV/f.u.: 3.18
Relative energy among the computed polymorphs, meV per atom: 109
Formation energy, eV per atom: 0.58
E, eV per cell: -918.22

---

# 8
Compound: TlCo2Ir
Source: Alexandria
Functional: meta-GGA SCAN
Structure: single point on PBEsol structure

Cell lengths 8.545, 2.839, 4.879 Å; angles 90.00, 101.09, 90.00 degrees
Space group C2/m (No. 12)
One atom of each set of equivalent atoms:
1 Tl 0.000 0.000 0.000 x2
2 Co 0.240 0.000 0.697 x4
3 Ir 0.000 0.500 0.500 x2

Calculated values
DOS(E_F), states/eV/f.u.: 3.72
Relative energy among the computed polymorphs, meV per atom: 25
Formation energy, eV per atom: 0.53
E, eV per cell: -351.86

---

# 9
Compound: TlCoIr2
Source: Alexandria
Functional: meta-GGA SCAN
Structure: single point on PBEsol structure

Cell lengths 2.793, 4.552, 4.784 Å; angles 90.00, 91.28, 90.00 degrees
Space group P2/m (No. 10)
One atom of each set of equivalent atoms:
1 Tl 0.000 0.000 0.000 x1
2 Co 0.500 0.000 0.500 x1
3 Ir 0.266 0.500 0.729 x2

Calculated values
DOS(E_F), states/eV/f.u.: 2.40
Relative energy among the computed polymorphs, meV per atom: 0
Formation energy, eV per atom: 0.47
E, eV per cell: -229.99

---

# 10
Compound: TlCo2Ir
Source: Alexandria
Functional: meta-GGA SCAN
Structure: single point on PBEsol structure

Cell lengths 2.788, 2.788, 7.133 Å; angles 90.00, 90.00, 90.00 degrees
Space group P4/mmm (No. 123)
One atom of each set of equivalent atoms:
1 Tl 0.000 0.000 0.000 x1
2 Co 0.500 0.500 0.276 x2
3 Ir 0.000 0.000 0.500 x1

Calculated values
DOS(E_F), states/eV/f.u.: 4.89
Relative energy among the computed polymorphs, meV per atom: 0
Formation energy, eV per atom: 0.51
E, eV per cell: -176.03

---

# 11
Compound: Tm2CoIr
Source: Alexandria
Functional: meta-GGA SCAN
Structure: single point on PBEsol structure

Cell lengths 6.582, 6.582, 6.582 Å; angles 90.00, 90.00, 90.00 degrees
Space group Fm-3m (No. 225)
One atom of each set of equivalent atoms:
1 Tm 0.250 0.250 0.250 x8
2 Co 0.000 0.000 0.000 x4
3 Ir 0.000 0.000 0.500 x4

Calculated values
DOS(E_F), states/eV/f.u.: 1.75
Formation energy, eV per atom: -0.78
E, eV per cell: -780.77

---

# 12
Compound: Co2IrW
Source: Alexandria
Functional: meta-GGA SCAN
Structure: single point on PBEsol structure

Cell lengths 3.671, 3.671, 7.408 Å; angles 90.00, 90.00, 90.00 degrees
Space group I-4m2 (No. 119)
One atom of each set of equivalent atoms:
1 Co 0.000 0.000 0.000 x2
2 Co 0.000 0.500 0.250 x2
3 Ir 0.000 0.500 0.750 x2
4 W 0.000 0.000 0.500 x2

Calculated values
DOS(E_F), states/eV/f.u.: 2.26
Formation energy, eV per atom: -0.11
E, eV per cell: -351.67

---

# 13
Compound: CoIrW2
Source: Alexandria
Functional: meta-GGA SCAN
Structure: single point on PBEsol structure

Cell lengths 2.714, 4.341, 4.711 Å; angles 90.00, 90.00, 90.00 degrees
Space group Pmm2 (No. 25)
One atom of each set of equivalent atoms:
1 Co 0.000 0.000 0.000 x1
2 Ir 0.000 0.500 0.651 x1
3 W 0.500 0.000 0.488 x1
4 W 0.500 0.500 0.137 x1

Calculated values
DOS(E_F), states/eV/f.u.: 3.20
Relative energy among the computed polymorphs, meV per atom: 57
Formation energy, eV per atom: -0.05
E, eV per cell: -227.98

---

# 14
Compound: Co2IrW
Source: Alexandria
Functional: meta-GGA SCAN
Structure: single point on PBEsol structure

Cell lengths 3.697, 3.697, 3.611 Å; angles 90.00, 90.00, 90.00 degrees
Space group P4/mmm (No. 123)
One atom of each set of equivalent atoms:
1 Co 0.000 0.500 0.000 x2
2 Ir 0.000 0.000 0.500 x1
3 W 0.500 0.500 0.500 x1

Calculated values
DOS(E_F), states/eV/f.u.: 1.66
Formation energy, eV per atom: -0.06
E, eV per cell: -175.63

---

# 15
Compound: CoIrW2
Source: Alexandria
Functional: meta-GGA SCAN
Structure: single point on PBEsol structure

Cell lengths 2.712, 3.799, 5.375 Å; angles 90.00, 90.00, 90.00 degrees
Space group Pmmm (No. 47)
One atom of each set of equivalent atoms:
1 Co 0.000 0.000 0.000 x1
2 Ir 0.000 0.000 0.500 x1
3 W 0.500 0.500 0.242 x2

Calculated values
DOS(E_F), states/eV/f.u.: 1.84
Relative energy among the computed polymorphs, meV per atom: 24
Formation energy, eV per atom: -0.08
E, eV per cell: -228.11

---

# 16
Compound: CoIrW2
Source: Alexandria
Functional: meta-GGA SCAN
Structure: single point on PBEsol structure

Cell lengths 3.800, 3.800, 3.822 Å; angles 90.00, 90.00, 90.00 degrees
Space group P4/mmm (No. 123)
One atom of each set of equivalent atoms:
1 Co 0.000 0.000 0.000 x1
2 Ir 0.500 0.500 0.000 x1
3 W 0.000 0.500 0.500 x2

Calculated values
DOS(E_F), states/eV/f.u.: 1.62
Relative energy among the computed polymorphs, meV per atom: 0
Formation energy, eV per atom: -0.11
E, eV per cell: -228.21

---

# 17
Compound: CoIrW2
Source: Alexandria
Functional: meta-GGA SCAN
Structure: single point on PBEsol structure

Cell lengths 3.801, 3.801, 7.641 Å; angles 90.00, 90.00, 90.00 degrees
Space group I4/mmm (No. 139)
One atom of each set of equivalent atoms:
1 Co 0.000 0.000 0.000 x2
2 Ir 0.000 0.000 0.500 x2
3 W 0.000 0.500 0.250 x4

Calculated values
DOS(E_F), states/eV/f.u.: 1.58
Relative energy among the computed polymorphs, meV per atom: 0
Formation energy, eV per atom: -0.11
E, eV per cell: -456.41

---

# 18
Compound: CoIrW2
Source: Alexandria
Functional: meta-GGA SCAN
Structure: single point on PBEsol structure

Cell lengths 6.077, 6.077, 6.077 Å; angles 90.00, 90.00, 90.00 degrees
Space group F-43m (No. 216)
One atom of each set of equivalent atoms:
1 Co 0.000 0.000 0.000 x4
2 Ir 0.250 0.250 0.750 x4
3 W 0.000 0.000 0.500 x4
4 W 0.250 0.250 0.250 x4

Calculated values
DOS(E_F), states/eV/f.u.: 4.40
Relative energy among the computed polymorphs, meV per atom: 311
Formation energy, eV per atom: 0.20
E, eV per cell: -907.85

---

# 19
Compound: Co2IrW
Source: Alexandria
Functional: meta-GGA SCAN
Structure: single point on PBEsol structure

Cell lengths 5.222, 7.175, 2.650 Å; angles 90.00, 90.00, 90.00 degrees
Space group Cmmm (No. 65)
One atom of each set of equivalent atoms:
1 Co 0.250 0.250 0.000 x4
2 Ir 0.000 0.000 0.500 x2
3 W 0.000 0.500 0.500 x2

Calculated values
DOS(E_F), states/eV/f.u.: 3.00
Formation energy, eV per atom: 0.11
E, eV per cell: -349.94

---

# 20
Compound: Co2IrW
Source: Alexandria
Functional: meta-GGA SCAN
Structure: single point on PBEsol structure

Cell lengths 3.702, 3.702, 7.232 Å; angles 90.00, 90.00, 90.00 degrees
Space group I4/mmm (No. 139)
One atom of each set of equivalent atoms:
1 Co 0.000 0.500 0.250 x4
2 Ir 0.000 0.000 0.000 x2
3 W 0.000 0.000 0.500 x2

Calculated values
DOS(E_F), states/eV/f.u.: 3.16
Formation energy, eV per atom: 0.00
E, eV per cell: -350.81

---

# 21
Compound: CoIrW2
Source: Alexandria
Functional: meta-GGA SCAN
Structure: single point on PBEsol structure

Cell lengths 5.372, 7.638, 2.704 Å; angles 90.00, 90.00, 90.00 degrees
Space group Cmmm (No. 65)
One atom of each set of equivalent atoms:
1 Co 0.000 0.000 0.000 x2
2 Ir 0.000 0.500 0.000 x2
3 W 0.250 0.250 0.500 x4

Calculated values
DOS(E_F), states/eV/f.u.: 1.47
Relative energy among the computed polymorphs, meV per atom: 37
Formation energy, eV per atom: -0.07
E, eV per cell: -456.12

---

# 22
Compound: CoIrW
Source: Alexandria
Functional: meta-GGA SCAN
Structure: single point on PBEsol structure

Cell lengths 5.629, 5.629, 5.629 Å; angles 90.00, 90.00, 90.00 degrees
Space group F-43m (No. 216)
One atom of each set of equivalent atoms:
1 Co 0.000 0.000 0.000 x4
2 Ir 0.250 0.250 0.250 x4
3 W 0.250 0.250 0.750 x4

Calculated values
DOS(E_F), states/eV/f.u.: 3.83
Formation energy, eV per atom: 0.54
E, eV per cell: -625.84

---

# 23
Compound: CoIrW2
Source: Alexandria
Functional: meta-GGA SCAN
Structure: single point on PBEsol structure

Cell lengths 2.7224, 2.7224, 26.2169 Å; angles 90.00, 90.00, 120.00 degrees
Space group R-3m (No. 166, hexagonal axes)
One atom of each set of equivalent atoms:
1 Co 0.0000 0.0000 0.0000 x3
2 Ir 0.0000 0.0000 0.5000 x3
3 W 0.0000 0.0000 0.2533 x6

Calculated values
DOS(E_F), states/eV/f.u.: 3.07
Relative energy among the computed polymorphs, meV per atom: 284
Formation energy, eV per atom: 0.18
E, eV per cell: -681.22

---

# 24
Compound: YCo2Ir
Source: Alexandria
Functional: meta-GGA SCAN
Structure: single point on PBEsol structure

Cell lengths 3.026, 3.026, 6.546 Å; angles 90.00, 90.00, 90.00 degrees
Space group P4mm (No. 99)
One atom of each set of equivalent atoms:
1 Y 0.000 0.000 0.000 x1
2 Co 0.000 0.000 0.473 x1
3 Co 0.500 0.500 0.313 x1
4 Ir 0.500 0.500 0.702 x1

Calculated values
DOS(E_F), states/eV/f.u.: 2.77
Formation energy, eV per atom: -0.09
E, eV per cell: -133.91

---

# 25
Compound: Y2CoIr
Source: Alexandria
Functional: meta-GGA SCAN
Structure: single point on PBEsol structure

Cell lengths 3.299, 3.299, 7.646 Å; angles 90.00, 90.00, 90.00 degrees
Space group P4mm (No. 99)
One atom of each set of equivalent atoms:
1 Y 0.000 0.000 0.000 x1
2 Y 0.500 0.500 0.391 x1
3 Co 0.000 0.000 0.644 x1
4 Ir 0.500 0.500 0.752 x1

Calculated values
DOS(E_F), states/eV/f.u.: 4.38
Formation energy, eV per atom: -0.14
E, eV per cell: -144.64

---

# 26
Compound: ZnCoIr
Source: Alexandria
Functional: meta-GGA SCAN
Structure: single point on PBEsol structure

Cell lengths 2.672, 2.672, 10.560 Å; angles 90.00, 90.00, 90.00 degrees
Space group I4mm (No. 107)
One atom of each set of equivalent atoms:
1 Zn 0.000 0.000 0.000 x2
2 Co 0.000 0.000 0.664 x2
3 Ir 0.000 0.000 0.318 x2

Calculated values
DOS(E_F), states/eV/f.u.: 1.86
Formation energy, eV per atom: -0.02
E, eV per cell: -203.95

---

# 27
Compound: Zn3CoIr
Source: Alexandria
Functional: meta-GGA SCAN
Structure: single point on PBEsol structure

Cell lengths 4.654, 4.654, 4.654 Å; angles 90.00, 90.00, 90.00 degrees
Space group Pm-3m (No. 221)
One atom of each set of equivalent atoms:
1 Zn 0.000 0.000 0.500 x3
2 Co 0.500 0.500 0.500 x1
3 Ir 0.000 0.000 0.000 x1

Calculated values
DOS(E_F), states/eV/f.u.: 2.56
Formation energy, eV per atom: 0.76
E, eV per cell: -125.14

---

# 28
Compound: Zr2Co2Ir
Source: Alexandria
Functional: meta-GGA SCAN
Structure: single point on PBEsol structure

Cell lengths 6.625, 6.625, 3.417 Å; angles 90.00, 90.00, 90.00 degrees
Space group P4/mbm (No. 127)
One atom of each set of equivalent atoms:
1 Zr 0.183 0.317 0.000 x4
2 Co 0.120 0.620 0.500 x4
3 Ir 0.000 0.000 0.500 x2

Calculated values
DOS(E_F), states/eV/f.u.: 3.75
Formation energy, eV per atom: -0.46
E, eV per cell: -338.80

---

# 29
Compound: ZrCoIr
Source: Alexandria
Functional: meta-GGA SCAN
Structure: single point on PBEsol structure

Cell lengths 6.018, 6.018, 6.018 Å; angles 90.00, 90.00, 90.00 degrees
Space group F-43m (No. 216)
One atom of each set of equivalent atoms:
1 Zr 0.000 0.000 0.000 x4
2 Co 0.000 0.000 0.500 x4
3 Ir 0.250 0.250 0.250 x4

Calculated values
DOS(E_F), states/eV/f.u.: 3.72
Formation energy, eV per atom: -0.17
E, eV per cell: -478.46

---

# 30
Compound: ZrCoIr
Source: Alexandria
Functional: meta-GGA SCAN
Structure: single point on PBEsol structure

Cell lengths 3.241, 3.241, 8.698 Å; angles 90.00, 90.00, 90.00 degrees
Space group I4mm (No. 107)
One atom of each set of equivalent atoms:
1 Zr 0.000 0.000 0.000 x2
2 Co 0.000 0.000 0.664 x2
3 Ir 0.000 0.000 0.329 x2

Calculated values
DOS(E_F), states/eV/f.u.: 2.36
Formation energy, eV per atom: -0.46
E, eV per cell: -240.96

---

# 31
Compound: ZrCoIr2
Source: Alexandria
Functional: meta-GGA SCAN
Structure: single point on PBEsol structure

Cell lengths 2.7583, 2.7583, 26.6246 Å; angles 90.00, 90.00, 120.00 degrees
Space group R-3m (No. 166, hexagonal axes)
One atom of each set of equivalent atoms:
1 Zr 0.0000 0.0000 0.0000 x3
2 Co 0.0000 0.0000 0.5000 x3
3 Ir 0.0000 0.0000 0.2425 x6

Calculated values
DOS(E_F), states/eV/f.u.: 3.54
Formation energy, eV per atom: -0.06
E, eV per cell: -571.27